## Na2LiMn2O6 (PBE+U)

Data for crystalline Na2LiMn2O6 at its relaxed geometry.

Unit cell a=5.091 b=5.091 c=5.710 alpha=97.40 beta=97.40 gamma=121.29
Last column: magnetic moment on the atom in μB.
Element x y z (fractional)
O  0.418  0.051  0.691  -0.20
O  0.949  0.582  0.309  -0.20
O  0.051  0.418  0.691  -0.20
O  0.582  0.949  0.309  -0.20
O  0.298  0.298  0.310  -0.20
O  0.702  0.702  0.690  -0.20
Mn  0.336  0.664  0.500  3.13
Mn  0.664  0.336  0.500  3.13
Na  0.158  0.842  0.000  0.00
Na  0.842  0.158  0.000  0.00
Li  0.000  0.000  0.500  0.00

## Properties
- Fermi-level density of states (states/eV per cell) = 6.2
- E (eV per cell) = -65.66
- space-group type = C2/m
- magnetic moment (Bohr magnetons per cell) = 5.0